Compound: Na2Sr4N
Source: Alexandria via LeMat-Bulk
Functional: PBE
Structure: relaxed

For the mass density, the calculation gives 2.46 g/cm³. For the energy above the lowest structure with this stoichiometry, the calculation gives 48 meV/atom. The uncorrected formation energy is -148 meV/atom.

The structure belongs to space group I4/mmm (No. 139); the cell edges are 5.407, 5.407 and 18.937 Å and the angles 90.00°, 90.00° and 90.00°. The distinct sites, in fractional coordinates, are Na at (0.000, 0.000, 0.163), Sr at (0.000, 0.000, 0.364), Sr at (0.000, 0.500, 0.000) and N at (0.000, 0.000, 0.500).